Record 1
Here is V2FeO6 after structural relaxation from Alexandria via LeMat-Bulk. Energies are from PBE with a Hubbard U.

Results
Raw total energy = -132.69 eV for the cell shown
Total magnetization = 8.000 μB/cell

Structure (CIF):
```
data_V2FeO6
_chemical_formula_sum 'V4 Fe2 O12'
_space_group_name_H-M_alt 'P 1'
_space_group_IT_number 1
_space_group_name_Hall 'P 1'
_cell_length_a 5.930
_cell_length_b 6.835
_cell_length_c 6.913
_cell_angle_alpha 84.60
_cell_angle_beta 74.77
_cell_angle_gamma 75.19
loop_
_atom_site_label
_atom_site_fract_x
_atom_site_fract_y
_atom_site_fract_z
V1 0.243 0.209 0.386
V2 0.256 0.613 0.791
V3 0.744 0.387 0.209
V4 0.757 0.791 0.614
Fe1 0.253 0.086 0.911
Fe2 0.747 0.914 0.089
O1 0.053 0.648 0.632
O2 0.145 0.807 0.958
O3 0.223 0.095 0.612
O4 0.272 0.384 0.907
O5 0.358 0.039 0.196
O6 0.449 0.371 0.351
O7 0.551 0.629 0.649
O8 0.642 0.961 0.804
O9 0.728 0.616 0.093
O10 0.777 0.905 0.388
O11 0.855 0.193 0.042
O12 0.947 0.352 0.368
```



Record 2
Here is VFeO4 after structural relaxation from Alexandria via LeMat-Bulk. Energies are from PBE with a Hubbard U.

Results
Raw total energy = -43.06 eV for the cell shown
Total magnetization = 4.977 μB/cell

Structure (CIF):
```
data_VFeO4
_chemical_formula_sum 'V1 Fe1 O4'
_space_group_name_H-M_alt 'P 1'
_space_group_IT_number 1
_space_group_name_Hall 'P 1'
_cell_length_a 5.763
_cell_length_b 5.763
_cell_length_c 5.763
_cell_angle_alpha 121.60
_cell_angle_beta 121.60
_cell_angle_gamma 87.24
loop_
_atom_site_label
_atom_site_fract_x
_atom_site_fract_y
_atom_site_fract_z
V1 0.000 0.000 0.000
Fe1 0.250 0.750 0.500
O1 0.041 0.880 0.681
O2 0.120 0.801 0.161
O3 0.199 0.360 0.319
O4 0.640 0.959 0.839
```



Record 3
Here is VFe2O6 after structural relaxation from Alexandria via LeMat-Bulk. Energies are from PBE with a Hubbard U.

Results
Raw total energy = -119.38 eV for the cell shown
Total magnetization = 10.004 μB/cell

Structure (CIF):
```
data_VFe2O6
_chemical_formula_sum 'V2 Fe4 O12'
_space_group_name_H-M_alt 'P 1'
_space_group_IT_number 1
_space_group_name_Hall 'P 1'
_cell_length_a 4.555
_cell_length_b 4.555
_cell_length_c 8.757
_cell_angle_alpha 90.00
_cell_angle_beta 90.00
_cell_angle_gamma 90.00
loop_
_atom_site_label
_atom_site_fract_x
_atom_site_fract_y
_atom_site_fract_z
V1 0.000 0.000 0.000
V2 0.500 0.500 0.500
Fe1 0.000 0.000 0.334
Fe2 0.000 0.000 0.666
Fe3 0.500 0.500 0.166
Fe4 0.500 0.500 0.834
O1 0.192 0.192 0.161
O2 0.192 0.192 0.839
O3 0.197 0.197 0.500
O4 0.303 0.697 0.000
O5 0.308 0.692 0.339
O6 0.308 0.692 0.661
O7 0.692 0.308 0.339
O8 0.692 0.308 0.661
O9 0.697 0.303 0.000
O10 0.803 0.803 0.500
O11 0.808 0.808 0.161
O12 0.808 0.808 0.839
```



Record 4
Here is V2FeO after structural relaxation from Alexandria via LeMat-Bulk. Energies are from PBE with a Hubbard U.

Results
Raw total energy = -48.35 eV for the cell shown
Total magnetization = 18.366 μB/cell

Structure (CIF):
```
data_V2FeO
_chemical_formula_sum 'V4 Fe2 O2'
_space_group_name_H-M_alt 'P 1'
_space_group_IT_number 1
_space_group_name_Hall 'P 1'
_cell_length_a 5.710
_cell_length_b 5.710
_cell_length_c 5.710
_cell_angle_alpha 114.93
_cell_angle_beta 114.93
_cell_angle_gamma 99.03
loop_
_atom_site_label
_atom_site_fract_x
_atom_site_fract_y
_atom_site_fract_z
V1 0.016 0.625 0.891
V2 0.375 0.266 0.391
V3 0.734 0.125 0.109
V4 0.875 0.984 0.609
Fe1 0.250 0.750 0.500
Fe2 0.500 0.500 0.000
O1 0.000 0.000 0.000
O2 0.750 0.250 0.500
```



Record 5
Here is VFeO4 after structural relaxation from Alexandria via LeMat-Bulk. Energies are from PBE with a Hubbard U.

Results
Raw total energy = -86.14 eV for the cell shown
Total magnetization = 9.985 μB/cell

Structure (CIF):
```
data_VFeO4
_chemical_formula_sum 'V2 Fe2 O8'
_space_group_name_H-M_alt 'P 1'
_space_group_IT_number 1
_space_group_name_Hall 'P 1'
_cell_length_a 5.086
_cell_length_b 5.086
_cell_length_c 6.248
_cell_angle_alpha 90.00
_cell_angle_beta 90.00
_cell_angle_gamma 111.96
loop_
_atom_site_label
_atom_site_fract_x
_atom_site_fract_y
_atom_site_fract_z
V1 0.144 0.856 0.750
V2 0.856 0.144 0.250
Fe1 0.500 0.500 0.000
Fe2 0.500 0.500 0.500
O1 0.240 0.288 0.250
O2 0.264 0.736 0.534
O3 0.264 0.736 0.966
O4 0.288 0.240 0.750
O5 0.712 0.760 0.250
O6 0.736 0.264 0.034
O7 0.736 0.264 0.466
O8 0.760 0.712 0.750
```



Record 6
Here is VFeO2 after structural relaxation from Alexandria via LeMat-Bulk. Energies are from PBE with a Hubbard U.

Results
Energy above the most stable polymorph in this dataset = 114 meV/atom
Total magnetization = 10.552 μB/cell

Structure (CIF):
```
data_VFeO2
_chemical_formula_sum 'V2 Fe2 O4'
_space_group_name_H-M_alt 'P 1'
_space_group_IT_number 1
_space_group_name_Hall 'P 1'
_cell_length_a 5.781
_cell_length_b 5.781
_cell_length_c 5.781
_cell_angle_alpha 132.21
_cell_angle_beta 132.21
_cell_angle_gamma 69.90
loop_
_atom_site_label
_atom_site_fract_x
_atom_site_fract_y
_atom_site_fract_z
V1 0.000 0.000 0.000
V2 0.750 0.250 0.500
Fe1 0.250 0.750 0.500
Fe2 0.500 0.500 0.000
O1 0.110 0.625 0.985
O2 0.375 0.360 0.485
O3 0.640 0.125 0.015
O4 0.875 0.890 0.515
```



Record 7
Here is V2Fe4O9 after structural relaxation from Alexandria via LeMat-Bulk. Energies are from PBE with a Hubbard U.

Results
Raw total energy = -213.96 eV for the cell shown
Total magnetization = 32.000 μB/cell

Structure (CIF):
```
data_V2Fe4O9
_chemical_formula_sum 'V4 Fe8 O18'
_space_group_name_H-M_alt 'P 1'
_space_group_IT_number 1
_space_group_name_Hall 'P 1'
_cell_length_a 5.164
_cell_length_b 5.164
_cell_length_c 14.159
_cell_angle_alpha 91.15
_cell_angle_beta 91.15
_cell_angle_gamma 59.12
loop_
_atom_site_label
_atom_site_fract_x
_atom_site_fract_y
_atom_site_fract_z
V1 0.006 0.990 0.852
V2 0.010 0.994 0.648
V3 0.990 0.006 0.352
V4 0.994 0.010 0.148
Fe1 0.319 0.339 0.185
Fe2 0.330 0.339 0.477
Fe3 0.339 0.319 0.685
Fe4 0.339 0.330 0.977
Fe5 0.661 0.670 0.023
Fe6 0.661 0.681 0.315
Fe7 0.670 0.661 0.523
Fe8 0.681 0.661 0.815
O1 0.016 0.327 0.091
O2 0.018 0.285 0.751
O3 0.063 0.631 0.587
O4 0.285 0.018 0.251
O5 0.287 0.678 0.092
O6 0.307 0.693 0.750
O7 0.322 0.713 0.408
O8 0.327 0.016 0.591
O9 0.369 0.937 0.913
O10 0.631 0.063 0.087
O11 0.673 0.984 0.409
O12 0.678 0.287 0.592
O13 0.693 0.307 0.250
O14 0.713 0.322 0.908
O15 0.715 0.982 0.749
O16 0.937 0.369 0.413
O17 0.982 0.715 0.249
O18 0.984 0.673 0.909
```



Record 8
Here is VFeO4 after structural relaxation from Alexandria via LeMat-Bulk. Energies are from PBE with a Hubbard U.

Results
Raw total energy = -85.68 eV for the cell shown
Total magnetization = 9.993 μB/cell

Structure (CIF):
```
data_VFeO4
_chemical_formula_sum 'V2 Fe2 O8'
_space_group_name_H-M_alt 'P 1'
_space_group_IT_number 1
_space_group_name_Hall 'P 1'
_cell_length_a 5.537
_cell_length_b 5.537
_cell_length_c 5.537
_cell_angle_alpha 113.73
_cell_angle_beta 111.16
_cell_angle_gamma 103.69
loop_
_atom_site_label
_atom_site_fract_x
_atom_site_fract_y
_atom_site_fract_z
V1 0.460 0.210 0.250
V2 0.540 0.790 0.750
Fe1 0.000 0.000 0.500
Fe2 0.000 0.500 0.000
O1 0.190 0.732 0.459
O2 0.227 0.268 0.959
O3 0.306 0.283 0.477
O4 0.306 0.829 0.023
O5 0.694 0.171 0.977
O6 0.694 0.717 0.523
O7 0.773 0.732 0.041
O8 0.810 0.268 0.541
```